A relaxed structure of CsTaRuO6, computed with PBE-GGA.

```
CsTaRuO6
1.0
5.344 -0.001 0.000
2.671 4.628 0.000
0.000 0.000 6.738
O Ru Cs Ta
6 1 1 1
Cartesian
1.618 2.729 4.496
3.725 2.729 2.243
4.226 1.862 4.496
3.173 0.037 2.242
2.171 0.037 4.496
1.117 1.862 2.243
2.671 1.543 3.369
5.344 0.000 6.738
5.344 3.085 3.369
```

Results
M_tot = 2.015 μB per cell
Symmetry = P312, No. 149
Formation energy (no corrections) = -1.74 eV per atom
E_tot = -7.48 eV/atom

---

A relaxed structure of Y2CrRe, computed with PBE-GGA.

```
Y2CrRe
1.0
5.611 0.003 0.000
2.365 5.088 0.000
-3.988 -2.545 3.017
Y Cr Re
2 1 1
Cartesian
1.182 2.544 1.508
0.000 0.000 0.000
3.988 2.545 0.000
2.805 0.001 1.508
```

Results
M_tot = 4.142 μB per cell
Symmetry = I-4m2, No. 119
E_tot = -8.19 eV/atom
Polymorph energy (0 for the lowest one) = 388.6 meV/atom
Energy of formation = 559 meV per atom

---

A relaxed structure of H3AuF8, computed with PBE-GGA.

```
H3AuF8
1.0
2.303 1.506 -5.932
-5.628 -3.278 0.587
-4.118 7.108 0.206
F H Au
16 6 2
Cartesian
-5.812 -0.797 -0.121
-4.352 -2.242 -2.259
-4.089 6.380 -3.572
-2.931 -1.485 0.025
-2.161 1.329 -0.502
-5.448 4.294 -4.629
-3.292 5.444 -1.162
-1.218 4.345 -2.974
-2.129 3.674 0.106
-2.638 3.588 -5.257
-1.798 6.421 -5.010
-4.673 1.232 -1.501
-3.622 2.945 -2.723
-0.070 0.120 0.003
-1.947 -0.842 -2.510
-4.318 0.180 -3.968
-3.917 5.038 -0.242
-3.678 0.561 -4.890
-8.126 2.587 0.197
-1.192 1.886 -0.893
-6.404 3.713 -4.239
0.531 3.013 -5.329
-3.069 4.621 -3.622
-3.653 -0.528 -1.552
```

Results
M_tot = 0.000 μB per cell
Symmetry = P6_3mc, No. 186
E_tot = -3.11 eV/atom

---

E_tot of number 3 (H3AuF8)?
-3.11 eV/atom

---

Look up the M_tot of the third one.
0.000 μB per cell

---

What is the formula in the first record?
CsTaRuO6